A plane-wave DFT calculation with PBE-GGA was carried out for KNa4P2 after structural relaxation. Values from VASP.

Summary:
DOS at the Fermi energy: 4.4 states/eV/f.u.
electronic total energy: -2.65 eV per atom
ΔH_f (0 K): -19.1 kJ per mole of atoms
space group: No. 65

```
&SYSTEM
  ibrav = 0, nat = 7, ntyp = 3
/
ATOMIC_SPECIES
K 39.10 K.upf
Na 22.99 Na.upf
P 30.97 P.upf
ATOMIC_POSITIONS crystal
K 0.000 0.000 0.000
Na 0.160 0.840 0.500
Na 0.340 0.660 0.000
Na 0.660 0.340 0.000
Na 0.840 0.160 0.500
P 0.437 0.563 0.500
P 0.563 0.437 0.500
CELL_PARAMETERS angstrom
2.417 -8.640 0.000
2.417 8.640 0.000
0.000 0.000 4.836
```



A plane-wave DFT calculation with PBE-GGA was carried out for KNa3P after structural relaxation. Values from VASP.

Summary:
DOS at the Fermi energy: 3.9 states/eV/f.u.
E above lowest polymorph: 958 meV/atom
electronic total energy: -1.29 eV per atom
ΔH_f (0 K): 77.8 kJ per mole of atoms
space group: No. 221

```
&SYSTEM
  ibrav = 0, nat = 5, ntyp = 3
/
ATOMIC_SPECIES
K 39.10 K.upf
Na 22.99 Na.upf
P 30.97 P.upf
ATOMIC_POSITIONS crystal
K 0.000 0.000 0.000
Na 0.000 0.000 0.500
Na 0.000 0.500 0.000
Na 0.500 0.000 0.000
P 0.500 0.500 0.500
CELL_PARAMETERS angstrom
5.684 0.000 0.000
0.000 5.684 0.000
0.000 0.000 5.684
```



A plane-wave DFT calculation with PBE-GGA was carried out for KNa3P after structural relaxation. Values from VASP.

Summary:
DOS at the Fermi energy: 4.1 states/eV/f.u.
E above lowest polymorph: 0 meV/atom
electronic total energy: -2.24 eV per atom
ΔH_f (0 K): -14.6 kJ per mole of atoms
space group: No. 221

```
&SYSTEM
  ibrav = 0, nat = 5, ntyp = 3
/
ATOMIC_SPECIES
K 39.10 K.upf
Na 22.99 Na.upf
P 30.97 P.upf
ATOMIC_POSITIONS crystal
K 0.000 0.000 0.000
Na 0.000 0.500 0.500
Na 0.500 0.000 0.500
Na 0.500 0.500 0.000
P 0.500 0.500 0.500
CELL_PARAMETERS angstrom
5.633 0.000 0.000
0.000 5.633 0.000
0.000 0.000 5.633
```